# AlZn4Co

A relaxed structure of AlZn4Co (PBE, Alexandria).

The structure in CIF format:
```
data_AlZn4Co
_space_group_name_H-M_alt 'F -4 3 m'
_space_group_IT_number 216
_space_group_name_Hall 'F -4 2 3'
_cell_length_a 6.926
_cell_length_b 6.926
_cell_length_c 6.926
_cell_angle_alpha 90.00
_cell_angle_beta 90.00
_cell_angle_gamma 90.00
loop_
_atom_site_label
_atom_site_type_symbol
_atom_site_fract_x
_atom_site_fract_y
_atom_site_fract_z
_atom_site_occupancy
Al1 Al 0.000 0.000 0.000 1
Zn1 Zn 0.125 0.125 0.375 1
Co1 Co 0.250 0.250 0.750 1
```


# PBE AlZnCo, optimized geometry
# **Energy relative to the lowest polymorph listed for this composition**: 95 meV per atom
data_AlZnCo
_space_group_name_H-M_alt 'P 3 m 1'
_space_group_IT_number 156
_cell_length_a 4.0568
_cell_length_b 4.0568
_cell_length_c 2.6928
_cell_angle_alpha 90.00
_cell_angle_beta 90.00
_cell_angle_gamma 120.00
loop_
_space_group_symop_operation_xyz
'x,y,z'
'-y,x-y,z'
'-x+y,-x,z'
'-y,-x,z'
'-x+y,y,z'
'x,x-y,z'
loop_
_atom_site_label
_atom_site_type_symbol
_atom_site_fract_x
_atom_site_fract_y
_atom_site_fract_z
_atom_site_occupancy
Al1 Al 0.0000 0.0000 0.0000 1
Zn1 Zn 0.3333 0.6667 0.6646 1
Co1 Co 0.6667 0.3333 0.3311 1


# PBE Al2Zn2Co, optimized geometry
# **Energy relative to the lowest polymorph listed for this composition**: 0 meV per atom
data_Al2Zn2Co
_space_group_name_H-M_alt 'P 4/m b m'
_space_group_IT_number 127
_space_group_name_Hall '-P 4 2ab'
_cell_length_a 6.349
_cell_length_b 6.349
_cell_length_c 3.798
_cell_angle_alpha 90.00
_cell_angle_beta 90.00
_cell_angle_gamma 90.00
loop_
_atom_site_label
_atom_site_type_symbol
_atom_site_fract_x
_atom_site_fract_y
_atom_site_fract_z
_atom_site_occupancy
Al1 Al 0.154 0.346 0.000 1
Zn1 Zn 0.152 0.652 0.500 1
Co1 Co 0.000 0.000 0.000 1


# PBE AlZn3Co, optimized geometry
# **Energy relative to the lowest polymorph listed for this composition**: 0 meV per atom
data_AlZn3Co
_space_group_name_H-M_alt 'P m -3 m'
_space_group_IT_number 221
_space_group_name_Hall '-P 4 2 3'
_cell_length_a 4.555
_cell_length_b 4.555
_cell_length_c 4.555
_cell_angle_alpha 90.00
_cell_angle_beta 90.00
_cell_angle_gamma 90.00
loop_
_atom_site_label
_atom_site_type_symbol
_atom_site_fract_x
_atom_site_fract_y
_atom_site_fract_z
_atom_site_occupancy
Al1 Al 0.000 0.000 0.000 1
Zn1 Zn 0.000 0.500 0.500 1
Co1 Co 0.500 0.500 0.500 1


# Al5ZnCo6

A relaxed structure of Al5ZnCo6 (PBE, Alexandria).

The structure in CIF format:
```
data_Al5ZnCo6
_space_group_name_H-M_alt 'C m m m'
_space_group_IT_number 65
_space_group_name_Hall '-C 2 2'
_cell_length_a 4.038
_cell_length_b 12.118
_cell_length_c 5.706
_cell_angle_alpha 90.00
_cell_angle_beta 90.00
_cell_angle_gamma 90.00
loop_
_atom_site_label
_atom_site_type_symbol
_atom_site_fract_x
_atom_site_fract_y
_atom_site_fract_z
_atom_site_occupancy
Al1 Al 0.000 0.000 0.000 1
Al2 Al 0.000 0.333 0.000 1
Al3 Al 0.000 0.334 0.500 1
Zn1 Zn 0.000 0.000 0.500 1
Co1 Co 0.000 0.168 0.249 1
Co2 Co 0.000 0.500 0.246 1
```


# AlZnCo2

A relaxed structure of AlZnCo2 (PBE, Alexandria).

The structure in CIF format:
```
data_AlZnCo2
_space_group_name_H-M_alt 'I -4 2 d'
_space_group_IT_number 122
_space_group_name_Hall 'I -4 2bw'
_cell_length_a 6.512
_cell_length_b 6.512
_cell_length_c 5.048
_cell_angle_alpha 90.00
_cell_angle_beta 90.00
_cell_angle_gamma 90.00
loop_
_atom_site_label
_atom_site_type_symbol
_atom_site_fract_x
_atom_site_fract_y
_atom_site_fract_z
_atom_site_occupancy
Al1 Al 0.000 0.000 0.000 1
Zn1 Zn 0.000 0.000 0.500 1
Co1 Co 0.247 0.250 0.125 1
```


# AlZnCo2

A relaxed structure of AlZnCo2 (PBE, Alexandria).

The structure in CIF format:
```
data_AlZnCo2
_space_group_name_H-M_alt 'C 1 2/m 1'
_space_group_IT_number 12
_cell_length_a 8.175
_cell_length_b 2.724
_cell_length_c 4.539
_cell_angle_alpha 90.00
_cell_angle_beta 103.18
_cell_angle_gamma 90.00
loop_
_space_group_symop_operation_xyz
'x,y,z'
'-x,-y,-z'
'-x,y,-z'
'x,-y,z'
'x+1/2,y+1/2,z'
'-x+1/2,-y+1/2,-z'
'-x+1/2,y+1/2,-z'
'x+1/2,-y+1/2,z'
loop_
_atom_site_label
_atom_site_type_symbol
_atom_site_fract_x
_atom_site_fract_y
_atom_site_fract_z
_atom_site_occupancy
Al1 Al 0.000 0.000 0.000 1
Zn1 Zn 0.000 0.500 0.500 1
Co1 Co 0.246 0.500 0.245 1
```


# Al5ZnCo4

A relaxed structure of Al5ZnCo4 (PBE, Alexandria).

The structure in CIF format:
```
data_Al5ZnCo4
_space_group_name_H-M_alt 'P 4/m m m'
_space_group_IT_number 123
_space_group_name_Hall '-P 4 2'
_cell_length_a 2.838
_cell_length_b 2.838
_cell_length_c 15.426
_cell_angle_alpha 90.00
_cell_angle_beta 90.00
_cell_angle_gamma 90.00
loop_
_atom_site_label
_atom_site_type_symbol
_atom_site_fract_x
_atom_site_fract_y
_atom_site_fract_z
_atom_site_occupancy
Al1 Al 0.000 0.000 0.000 1
Al2 Al 0.000 0.000 0.187 1
Al3 Al 0.000 0.000 0.374 1
Zn1 Zn 0.500 0.500 0.500 1
Co1 Co 0.500 0.500 0.094 1
Co2 Co 0.500 0.500 0.284 1
```


| no. | DFT formation energy (eV/atom) | raw total energy (hartree per atom) |
| --- | --- | --- |
| 1 | 0.095 | -0.09417 |
| 2 | -0.139 | -0.15360 |
| 3 | 0.157 | -0.12019 |
| 4 | 0.444 | -0.09150 |
| 5 | -0.514 | -0.21068 |
| 6 | 0.257 | -0.16723 |
| 7 | -0.092 | -0.18003 |
| 8 | -0.466 | -0.19502 |